(1)
Computed, not measured: an optimized crystal structure of Mg4In2Sn3 at the PBE level of DFT.

Properties
Final energy (eV/cell): -24.56
SG: P-1

```
Mg4In2Sn3
1.0
4.5596 0.0000 0.0000
2.2456 5.0233 0.0000
0.0724 2.2999 9.5596
Mg In Sn
4 2 3
Direct
0.0030 0.4861 0.3334
0.3325 0.8296 0.1122
0.6675 0.1704 0.8878
0.9970 0.5139 0.6666
0.3379 0.8345 0.7852
0.6621 0.1655 0.2148
0.0000 0.5000 0.0000
0.3309 0.8247 0.4381
0.6691 0.1753 0.5619
```

***

(2)
Computed, not measured: an optimized crystal structure of Na2Pd3Au at the PBE level of DFT.

Properties
Final energy (eV/cell): -22.96
SG: C2/m

```
Na2Pd3Au
1.0
4.6787 -2.7069 0.0000
4.6787 2.7069 0.0000
-3.1226 0.0000 4.5032
Na Pd Au
2 3 1
Direct
0.1239 0.1239 0.3718
0.8761 0.8761 0.6282
0.0000 0.5000 0.0000
0.5000 0.0000 0.0000
0.5000 0.5000 0.0000
0.5000 0.5000 0.5000
```

***

(3)
Computed, not measured: an optimized crystal structure of NaCu2SeO at the PBE level of DFT.

Properties
Final energy (eV/cell): -19.02
Formation energy (no corrections) (meV/atom): -212
SG: P4/mmm

```
NaCu2SeO
1.0
3.7844 0.0000 0.0000
0.0000 3.7844 0.0000
0.0000 0.0000 6.8428
Na Cu Se O
1 2 1 1
Direct
0.0000 0.0000 0.0000
0.0000 0.5000 0.5000
0.5000 0.0000 0.5000
0.5000 0.5000 0.0000
0.5000 0.5000 0.5000
```